Entry 1:
DFT (GGA-PBE) results for a relaxed UInPd6 crystal.

Unit cell a=7.484 b=7.484 c=7.484 alpha=42.45 beta=42.45 gamma=42.45
Sites, in units of the cell vectors:
U  0.000  0.000  0.000
In  0.500  0.500  0.500
Pd  0.070  0.070  0.561
Pd  0.070  0.561  0.070
Pd  0.439  0.930  0.930
Pd  0.561  0.070  0.070
Pd  0.930  0.439  0.930
Pd  0.930  0.930  0.439

Results
E_form	-0.07	eV per atom
crystal system	trigonal
offset from the most stable computed form	0.4639	eV/atom

Entry 2:
DFT (GGA-PBE) results for a relaxed LiHf2Ga crystal.

Unit cell a=7.508 b=7.508 c=5.473 alpha=90.00 beta=90.00 gamma=90.00
Sites, in units of the cell vectors:
Li  0.000  0.000  0.000
Li  0.000  0.500  0.250
Li  0.500  0.000  0.750
Li  0.500  0.500  0.500
Hf  0.250  0.250  0.125
Hf  0.250  0.250  0.625
Hf  0.250  0.750  0.375
Hf  0.250  0.750  0.875
Hf  0.750  0.250  0.375
Hf  0.750  0.250  0.875
Hf  0.750  0.750  0.125
Hf  0.750  0.750  0.625
Ga  0.000  0.000  0.500
Ga  0.000  0.500  0.750
Ga  0.500  0.000  0.250
Ga  0.500  0.500  0.000

Results
E_form	0.27	eV per atom
crystal system	tetragonal

Entry 3:
DFT (GGA-PBE) results for a relaxed Zn2OF crystal.

Unit cell a=4.888 b=4.888 c=9.675 alpha=90.00 beta=90.00 gamma=90.00
Sites, in units of the cell vectors:
Zn  0.212  0.250  0.125
Zn  0.250  0.712  0.375
Zn  0.250  0.788  0.875
Zn  0.288  0.250  0.625
Zn  0.712  0.750  0.625
Zn  0.750  0.212  0.875
Zn  0.750  0.288  0.375
Zn  0.788  0.750  0.125
O  0.000  0.000  0.000
O  0.000  0.500  0.250
O  0.500  0.000  0.750
O  0.500  0.500  0.500
F  0.000  0.000  0.500
F  0.000  0.500  0.750
F  0.500  0.000  0.250
F  0.500  0.500  0.000

Results
formation energy from raw total energies	-1.30	eV per atom
crystal system	tetragonal
offset from the most stable computed form	0.0178	eV/atom

Number 1: DOS(E_F) 7.7 states/eV per cell. Number 2: DOS(E_F) 12.6 states/eV per cell. Number 3: DOS(E_F) 2.0 states/eV per cell.